# Pb2IO2, relaxed, DFT GGA-PBEsol
# Raw total energy in Ha/atom: -0.1820
# Formation energy (no corrections) in eV per atom: -0.899
# Total moment in Bohr magnetons per cell: 0.0
data_Pb2IO2
_chemical_formula_sum 'Pb4 I2 O4'
_space_group_name_H-M_alt 'I 4/m m m'
_space_group_IT_number 139
_space_group_name_Hall '-I 4 2'
_cell_length_a 3.994
_cell_length_b 3.994
_cell_length_c 13.507
_cell_angle_alpha 90.00
_cell_angle_beta 90.00
_cell_angle_gamma 90.00
loop_
_atom_site_label
_atom_site_type_symbol
_atom_site_fract_x
_atom_site_fract_y
_atom_site_fract_z
Pb1 Pb 0.000 0.000 0.161
I1 I 0.000 0.000 0.500
O1 O 0.000 0.500 0.250